Li5Mn2CoO8: relaxed, GGA+U.

Results
Its excess energy over the best structure of this formula in the dataset is 39 meV per atom.

a b c (Å): 5.8252 2.8685 8.4013
angles (deg): 90.00 90.38 90.00
Last column: nearest neighbours and their distance in Å.
Space group P2/m (No. 10)
One atom of each set of equivalent atoms:
Li (0.0000, 0.0000, 0.0000) [1 per cell]  6 O 2.08-2.16
Li (0.0000, 0.0000, 0.5000) [1 per cell]  6 O 2.05-2.14
Li (0.2436, 0.5000, 0.2818) [2 per cell]  5 O 2.01-2.17
Li (0.5000, 0.0000, 0.5000) [1 per cell]  6 O 2.05-2.10
Mn (0.2501, 0.5000, 0.7370) [2 per cell]  5 O 1.81-1.97
Co (0.5000, 0.0000, 0.0000) [1 per cell]  6 O 1.94-2.10
O (0.0269, 0.0000, 0.7537) [2 per cell]  2 Mn 1.94, 4 Li 2.08-2.15
O (0.2496, 0.5000, 0.5213) [2 per cell]  1 Mn 1.81, 1 Li 2.01
O (0.2768, 0.5000, 0.9832) [2 per cell]  2 Co 1.94, 1 Mn 2.07, 2 Li 2.16
O (0.4819, 0.0000, 0.7500) [2 per cell]  2 Mn 1.97, 1 Co 2.10, 3 Li 2.10-2.17